(1)
AuSe4 | SCAN | single point on PBEsol structure

```
data_AuSe4
_chemical_formula_sum 'Au2 Se8'
_symmetry_space_group_name_H-M 'I 4/m'
_symmetry_Int_Tables_number 87
_symmetry_space_group_name_Hall '-I 4'
_cell_length_a 8.741
_cell_length_b 8.741
_cell_length_c 3.455
_cell_angle_alpha 90.00
_cell_angle_beta 90.00
_cell_angle_gamma 90.00
loop_
_atom_site_label
_atom_site_fract_x
_atom_site_fract_y
_atom_site_fract_z
Au1 0.000 0.000 0.000
Se1 0.155 0.798 0.500
```

For the relative energy among the computed polymorphs, the calculation gives 0.0 meV per atom.

---

(2)
AuSe | SCAN | single point on PBEsol structure

```
data_AuSe
_chemical_formula_sum 'Au4 Se4'
_symmetry_space_group_name_H-M 'C m c m'
_symmetry_Int_Tables_number 63
_symmetry_space_group_name_Hall '-C 2c 2'
_cell_length_a 3.871
_cell_length_b 10.523
_cell_length_c 3.765
_cell_angle_alpha 90.00
_cell_angle_beta 90.00
_cell_angle_gamma 90.00
loop_
_atom_site_label
_atom_site_fract_x
_atom_site_fract_y
_atom_site_fract_z
Au1 0.000 0.107 0.250
Se1 0.000 0.358 0.250
```

---

(3)
AuSe5 | SCAN | single point on PBEsol structure

```
data_AuSe5
_chemical_formula_sum 'Au1 Se5'
_symmetry_space_group_name_H-M 'P -6 2 m'
_symmetry_Int_Tables_number 189
_symmetry_space_group_name_Hall 'P -6 -2'
_cell_length_a 6.2866
_cell_length_b 6.2866
_cell_length_c 3.6391
_cell_angle_alpha 90.00
_cell_angle_beta 90.00
_cell_angle_gamma 120.00
loop_
_atom_site_label
_atom_site_fract_x
_atom_site_fract_y
_atom_site_fract_z
Au1 0.0000 0.0000 0.0000
Se1 0.0000 0.6790 0.5000
Se2 0.3333 0.6667 0.0000
```

---

| no. | raw formation energy (eV per atom) | raw total energy (eV per atom) | volume (Å³ per atom) |
| --- | --- | --- | --- |
| 1 | 0.34 | -29.557 | 26.4 |
| 2 | 0.21 | -44.408 | 19.2 |
| 3 | 0.39 | -27.863 | 20.8 |